VASP calculation (PBE) on a relaxed structure of Pr3Tl2Ag4.

Computed properties:
Crystal system = monoclinic
Energy of formation from the pure elements = -0.279 eV per atom
V = 227.9 Å³/f.u.

```
data_Pr3Tl2Ag4
_chemical_formula_sum 'Pr6 Tl4 Ag8'
_cell_length_a 11.193
_cell_length_b 4.963
_cell_length_c 9.374
_cell_angle_alpha 90.00
_cell_angle_beta 118.93
_cell_angle_gamma 90.00
_symmetry_space_group_name_H-M 'C 1 2/m 1'
_symmetry_Int_Tables_number 12
_symmetry_space_group_name_Hall '-C 2y'
loop_
_atom_site_label
_atom_site_fract_x
_atom_site_fract_y
_atom_site_fract_z
Pr1 0.000 0.000 0.000
Pr2 0.162 0.500 0.673
Tl1 0.120 0.500 0.286
Ag1 0.064 0.000 0.401
Ag2 0.222 0.500 0.052
```